Record 1
## ZrNb2As2 (PBE)

Data for a relaxed structure of ZrNb2As2.

DOS at the Fermi energy = 0.52 states/eV per atom
excess energy over the best structure of this formula in the dataset = 410 meV per atom
space group = I4/mmm
crystal system = tetragonal

Structure (POSCAR):
```
ZrNb2As2
1.0
-2.424 2.424 4.256
2.424 -2.424 4.256
2.424 2.424 -4.256
Zr Nb As
1 2 2
Direct
0.000 0.000 0.000
0.361 0.361 0.000
0.639 0.639 0.000
0.250 0.750 0.500
0.750 0.250 0.500
```

---

Record 2
## ZrNbAs (PBE)

Data for a relaxed structure of ZrNbAs.

DOS at the Fermi energy = 0.74 states/eV per atom
space group = P1
crystal system = triclinic

Structure (POSCAR):
```
ZrNbAs
1.0
3.462 0.000 0.000
1.529 5.000 0.000
0.273 1.150 6.788
Zr Nb As
2 2 2
Direct
0.000 0.000 0.000
0.230 0.549 0.707
0.263 0.328 0.304
0.635 0.775 0.351
0.515 0.016 0.663
0.695 0.545 0.025
```

---

Record 3
## ZrNbAs (PBE)

Data for a relaxed structure of ZrNbAs.

DOS at the Fermi energy = 0.70 states/eV per atom
space group = P1
crystal system = triclinic

Structure (POSCAR):
```
ZrNbAs
1.0
3.481 0.000 0.000
1.303 4.905 0.000
0.905 0.559 6.766
Zr Nb As
2 2 2
Direct
0.000 0.000 0.000
0.142 0.098 0.427
0.330 0.440 0.695
0.698 0.617 0.341
0.331 0.430 0.082
0.654 0.858 0.706
```

---

Record 4
## ZrNb2As (PBE)

Data for a relaxed structure of ZrNb2As.

DOS at the Fermi energy = 0.48 states/eV per atom
excess energy over the best structure of this formula in the dataset = 0 meV per atom
space group = Cmcm
crystal system = orthorhombic

Structure (POSCAR):
```
ZrNb2As
1.0
1.799 -5.061 0.000
1.799 5.061 0.000
0.000 0.000 8.254
Zr Nb As
2 4 2
Direct
0.039 0.961 0.750
0.961 0.039 0.250
0.354 0.646 0.552
0.354 0.646 0.948
0.646 0.354 0.052
0.646 0.354 0.448
0.247 0.753 0.250
0.753 0.247 0.750
```

---

Record 5
## ZrNb3As (PBE)

Data for a relaxed structure of ZrNb3As.

DOS at the Fermi energy = 0.99 states/eV per atom
excess energy over the best structure of this formula in the dataset = 0 meV per atom
space group = Pm-3m
crystal system = cubic

Structure (POSCAR):
```
ZrNb3As
1.0
4.780 0.000 0.000
0.000 4.780 0.000
0.000 0.000 4.780
Zr Nb As
1 3 1
Direct
0.000 0.000 0.000
0.000 0.500 0.500
0.500 0.000 0.500
0.500 0.500 0.000
0.500 0.500 0.500
```

---

Record 6
## ZrNb3As (PBE)

Data for a relaxed structure of ZrNb3As.

DOS at the Fermi energy = 1.02 states/eV per atom
excess energy over the best structure of this formula in the dataset = 1227 meV per atom
space group = Pm-3m
crystal system = cubic

Structure (POSCAR):
```
ZrNb3As
1.0
4.919 0.000 0.000
0.000 4.919 0.000
0.000 0.000 4.919
Zr Nb As
1 3 1
Direct
0.000 0.000 0.000
0.000 0.000 0.500
0.000 0.500 0.000
0.500 0.000 0.000
0.500 0.500 0.500
```

---

Record 7
## Zr3Nb4As4 (PBE)

Data for a relaxed structure of Zr3Nb4As4.

DOS at the Fermi energy = 0.51 states/eV per atom
space group = Immm
crystal system = orthorhombic

Structure (POSCAR):
```
Zr3Nb4As4
1.0
-1.808 3.994 7.129
1.808 -3.994 7.129
1.808 3.994 -7.129
Zr Nb As
3 4 4
Direct
0.000 0.000 0.000
0.390 0.890 0.500
0.610 0.110 0.500
0.021 0.327 0.694
0.367 0.673 0.694
0.633 0.327 0.306
0.979 0.673 0.306
0.244 0.244 0.000
0.297 0.500 0.797
0.703 0.500 0.203
0.756 0.756 0.000
```

---

Record 8
## Zr3NbAs (PBE)

Data for a relaxed structure of Zr3NbAs.

DOS at the Fermi energy = 1.26 states/eV per atom
excess energy over the best structure of this formula in the dataset = 597 meV per atom
space group = Pm-3m
crystal system = cubic

Structure (POSCAR):
```
Zr3NbAs
1.0
5.073 0.000 0.000
0.000 5.073 0.000
0.000 0.000 5.073
Zr Nb As
3 1 1
Direct
0.000 0.000 0.500
0.000 0.500 0.000
0.500 0.000 0.000
0.000 0.000 0.000
0.500 0.500 0.500
```

---

Record 9
## ZrNbAs3 (PBE)

Data for a relaxed structure of ZrNbAs3.

DOS at the Fermi energy = 0.98 states/eV per atom
space group = Pm-3m
crystal system = cubic

Structure (POSCAR):
```
ZrNbAs3
1.0
4.943 0.000 0.000
0.000 4.943 0.000
0.000 0.000 4.943
Zr Nb As
1 1 3
Direct
0.000 0.000 0.000
0.500 0.500 0.500
0.000 0.500 0.500
0.500 0.000 0.500
0.500 0.500 0.000
```

---

Record 10
## ZrNbAs (PBE)

Data for a relaxed structure of ZrNbAs.

DOS at the Fermi energy = 0.92 states/eV per atom
space group = Pm
crystal system = monoclinic

Structure (POSCAR):
```
ZrNbAs
1.0
3.496 0.000 0.000
0.000 3.372 0.000
-1.691 0.000 5.098
Zr Nb As
1 1 1
Direct
0.000 0.000 0.000
0.705 0.500 0.385
0.302 0.000 0.586
```

---

Record 11
## ZrNbAs (PBE)

Data for a relaxed structure of ZrNbAs.

DOS at the Fermi energy = 0.41 states/eV per atom
space group = Cmcm
crystal system = orthorhombic

Structure (POSCAR):
```
ZrNbAs
1.0
1.895 -5.302 0.000
1.895 5.302 0.000
0.000 0.000 5.609
Zr Nb As
2 2 2
Direct
0.191 0.809 0.750
0.809 0.191 0.250
0.500 0.500 0.000
0.500 0.500 0.500
0.121 0.879 0.250
0.879 0.121 0.750
```

---

Record 12
## Zr2NbAs (PBE)

Data for a relaxed structure of Zr2NbAs.

DOS at the Fermi energy = 0.34 states/eV per atom
excess energy over the best structure of this formula in the dataset = 0 meV per atom
space group = Fm-3m
crystal system = cubic

Structure (POSCAR):
```
Zr2NbAs
1.0
0.000 3.383 3.383
3.383 0.000 3.383
3.383 3.383 0.000
Zr Nb As
2 1 1
Direct
0.250 0.250 0.250
0.750 0.750 0.750
0.000 0.000 0.000
0.500 0.500 0.500
```

---

Record 13
## ZrNbAs (PBE)

Data for a relaxed structure of ZrNbAs.

DOS at the Fermi energy = 0.43 states/eV per atom
space group = Pm
crystal system = monoclinic

Structure (POSCAR):
```
ZrNbAs
1.0
4.096 0.000 0.000
0.000 3.665 0.000
-2.020 0.000 7.890
Zr Nb As
2 2 2
Direct
0.000 0.000 0.000
0.348 0.500 0.689
0.146 0.500 0.294
0.669 0.000 0.344
0.529 0.500 0.059
0.837 0.000 0.665
```

---

| no. | total magnetic moment (Bohr magnetons per cell) | ΔE_f (meV per atom) | mass density (g/cm³) |
| --- | --- | --- | --- |
| 1 | 0.0 | -180 | 7.084 |
| 2 | 0.0 | -545 | 7.321 |
| 3 | 0.0 | -577 | 7.447 |
| 4 | 0.0 | -581 | 7.778 |
| 5 | 0.0 | 419 | 6.762 |
| 6 | 0.0 | 1647 | 6.206 |
| 7 | 0.0 | -727 | 7.621 |
| 8 | 1.4 | 849 | 5.614 |
| 9 | 0.8 | 330 | 5.623 |
| 10 | 0.0 | -480 | 7.157 |
| 11 | 0.0 | -757 | 7.631 |
| 12 | 0.0 | -230 | 7.509 |
| 13 | 0.0 | -557 | 7.263 |